[1]
Density functional theory data (GGA-PBE) for a relaxed structure of PrGa6Ir2.

Raw total energy = -41.71 eV/cell
SG = No. 162
Volume = 192.61 Å³/f.u.
Magnetic moment = 0.0 μB per formula unit

a b c (Å): 4.9055 4.9055 9.2424
angles (deg): 90.00 90.00 120.00
With the nearest neighbours (Å) after each atom.
Sites, in units of the cell vectors:
Ir1 0.6667 0.3333 0.5000  6 Ga 2.59, 3 Ir 2.83
Ir2 0.3333 0.6667 0.5000  6 Ga 2.59, 3 Ir 2.83
Ga1 0.6623 0.6623 0.7188  2 Ir 2.59, 6 Ga 2.81-2.87
Ga2 0.0000 0.3377 0.7188  2 Ir 2.59, 6 Ga 2.81-2.87
Ga3 0.3377 0.3377 0.2812  2 Ir 2.59, 6 Ga 2.81-2.87
Ga4 0.6623 0.0000 0.2812  2 Ir 2.59, 6 Ga 2.81-2.87
Ga5 0.3377 0.0000 0.7188  2 Ir 2.59, 6 Ga 2.81-2.87
Ga6 0.0000 0.6623 0.2812  2 Ir 2.59, 6 Ga 2.81-2.87
Pr1 0.0000 0.0000 0.0000  6 Ga 3.08


[2]
Density functional theory data (GGA-PBE) for a relaxed structure of BIrBr2.

SG = No. 225
Volume = 70.33 Å³/f.u.
Magnetic moment = 0.8 μB per formula unit
Distance to the lowest polymorph of the same formula = 8.57 kcal/mol of atoms
Uncorrected formation energy = 1.706 eV/atom

a b c (Å): 4.6333 4.6333 4.6333
angles (deg): 60.00 60.00 60.00
With the nearest neighbours (Å) after each atom.
Sites, in units of the cell vectors:
Ir1 0.5000 0.5000 0.5000  8 Br 2.84
Br1 0.7500 0.7500 0.7500  4 B 2.84, 4 Ir 2.84
Br2 0.2500 0.2500 0.2500  4 Ir 2.84, 4 B 2.84
B1 0.0000 0.0000 0.0000  8 Br 2.84


[3]
Density functional theory data (GGA-PBE) for a relaxed structure of LiCaGe2.

SG = No. 62
Volume = 85.30 Å³/f.u.
Magnetic moment = 0.0 μB per formula unit
Distance to the lowest polymorph of the same formula = 0.00 kcal/mol of atoms

a b c (Å): 3.9367 8.0465 10.7714
angles (deg): 90.00 90.00 90.00
With the nearest neighbours (Å) after each atom.
Sites, in units of the cell vectors:
Ge1 0.7500 0.2712 0.0619  2 Ge 2.51, 3 Li 2.66-2.70
Ge2 0.2500 0.2288 0.5619  2 Ge 2.51, 3 Li 2.66-2.70
Ge3 0.7500 0.7712 0.4381  2 Ge 2.51, 3 Li 2.66-2.70
Ge4 0.2500 0.7288 0.9381  2 Ge 2.51, 3 Li 2.66-2.70
Ge5 0.2500 0.6601 0.3203  2 Ge 2.51, 2 Li 2.63-2.77
Ge6 0.7500 0.3399 0.6797  2 Ge 2.51, 2 Li 2.63-2.77
Ge7 0.2500 0.1601 0.1797  2 Ge 2.51, 2 Li 2.63-2.77
Ge8 0.7500 0.8399 0.8203  2 Ge 2.51, 2 Li 2.63-2.77
Li1 0.7500 0.0077 0.6108  5 Ge 2.63-2.77
Li2 0.7500 0.5077 0.8892  5 Ge 2.63-2.77
Li3 0.2500 0.4923 0.1108  5 Ge 2.63-2.77
Li4 0.2500 0.9923 0.3892  5 Ge 2.63-2.77
Ca1 0.7500 0.3671 0.3641  9 Ge 3.11-3.41
Ca2 0.2500 0.6329 0.6359  9 Ge 3.11-3.41
Ca3 0.7500 0.8671 0.1359  9 Ge 3.11-3.41
Ca4 0.2500 0.1329 0.8641  9 Ge 3.11-3.41


[4]
Density functional theory data (GGA-PBE) for a relaxed structure of NiBiAs.

SG = No. 31
Volume = 61.19 Å³/f.u.
Magnetic moment = 0.0 μB per formula unit
Distance to the lowest polymorph of the same formula = 0.51 kcal/mol of atoms

a b c (Å): 3.8321 5.0558 6.3161
angles (deg): 90.00 90.00 90.00
With the nearest neighbours (Å) after each atom.
Sites, in units of the cell vectors:
Bi1 0.0000 0.4661 0.6418  3 Ni 2.68-2.70, 1 As 2.85
Bi2 0.5000 0.5339 0.1418  3 Ni 2.68-2.70, 1 As 2.85
As1 0.5000 0.9720 0.8580  3 Ni 2.37-2.42
As2 0.0000 0.0280 0.3580  3 Ni 2.37-2.42
Ni1 0.0000 0.1972 0.0079  3 As 2.37-2.42
Ni2 0.5000 0.8028 0.5079  3 As 2.37-2.42


[5]
Density functional theory data (GGA-PBE) for a relaxed structure of MnCo2Sb.

SG = No. 10
Volume = 58.57 Å³/f.u.
Magnetic moment = 6.0 μB per formula unit
Uncorrected formation energy = 0.261 eV/atom

a b c (Å): 4.1579 2.9075 4.8495
angles (deg): 87.57 90.00 90.00
With the nearest neighbours (Å) after each atom.
Sites, in units of the cell vectors:
Co1 0.0000 0.9499 0.0320  1 Co 2.37, 2 Mn 2.51, 2 Sb 2.57
Co2 0.0000 0.5501 0.4680  1 Co 2.37, 2 Mn 2.51, 2 Sb 2.57
Mn1 0.5000 0.2500 0.2500  4 Co 2.51, 2 Sb 2.77
Sb1 0.5000 0.7500 0.7500  4 Co 2.57, 2 Mn 2.77


[6]
Density functional theory data (GGA-PBE) for a relaxed structure of HfSbPd4.

SG = No. 12
Volume = 114.26 Å³/f.u.
Magnetic moment = 0.0 μB per formula unit
Uncorrected formation energy = -0.439 eV/atom

a b c (Å): 7.4281 4.6493 7.2754
angles (deg): 90.00 114.56 90.00
With the nearest neighbours (Å) after each atom.
Sites, in units of the cell vectors:
Pd1 0.6788 0.5000 0.6882  2 Sb 2.74, 5 Pd 2.83-2.92, 1 Hf 3.07
Pd2 0.1788 0.0000 0.6882  2 Sb 2.74, 5 Pd 2.83-2.92, 1 Hf 3.07
Pd3 0.8212 0.0000 0.3118  2 Sb 2.74, 5 Pd 2.83-2.92, 1 Hf 3.07
Pd4 0.3909 0.0000 0.1136  1 Sb 2.58, 3 Hf 2.67-2.70, 2 Pd 2.75-2.83
Pd5 0.6091 0.0000 0.8864  1 Sb 2.58, 3 Hf 2.67-2.70, 2 Pd 2.75-2.83
Pd6 0.1091 0.5000 0.8864  1 Sb 2.58, 3 Hf 2.67-2.70, 2 Pd 2.75-2.83
Pd7 0.3212 0.5000 0.3118  2 Sb 2.74, 5 Pd 2.83-2.92, 1 Hf 3.07
Pd8 0.8909 0.5000 0.1136  1 Sb 2.58, 3 Hf 2.67-2.70, 2 Pd 2.75-2.83
Sb1 0.5000 0.0000 0.5000  6 Pd 2.58-2.74
Sb2 0.0000 0.5000 0.5000  6 Pd 2.58-2.74
Hf1 0.0000 0.0000 0.0000  6 Pd 2.67-2.70
Hf2 0.5000 0.5000 0.0000  6 Pd 2.67-2.70


[7]
Density functional theory data (GGA-PBE) for a relaxed structure of Zn2FeRe.

SG = No. 44
Volume = 54.76 Å³/f.u.
Magnetic moment = 2.1 μB per formula unit
Distance to the lowest polymorph of the same formula = 4.93 kcal/mol of atoms

a b c (Å): 5.1903 5.1903 5.1903
angles (deg): 149.75 128.36 61.03
With the nearest neighbours (Å) after each atom.
Sites, in units of the cell vectors:
Zn1 0.7425 0.2425 0.5000  2 Fe 2.56, 4 Re 2.64, 4 Zn 2.64-2.71
Zn2 0.9964 0.9964 0.0000  4 Fe 2.64, 4 Zn 2.64-2.71, 2 Re 2.73
Fe1 0.5000 0.5000 0.0000  2 Re 2.53, 6 Zn 2.56-2.64, 2 Fe 2.71
Re1 0.2610 0.7610 0.5000  2 Fe 2.53, 6 Zn 2.64-2.73, 2 Re 2.71


[8]
Density functional theory data (GGA-PBE) for a relaxed structure of PHRhCl2.

SG = No. 123
Volume = 109.96 Å³/f.u.
Magnetic moment = 0.7 μB per formula unit
Distance to the lowest polymorph of the same formula = 0.00 kcal/mol of atoms

a b c (Å): 4.9980 4.9980 4.4021
angles (deg): 90.00 90.00 90.00
With the nearest neighbours (Å) after each atom.
Sites, in units of the cell vectors:
Cl1 0.5000 0.0000 0.0000  2 Rh 2.50
Cl2 0.0000 0.5000 0.0000  2 Rh 2.50
H1 0.5000 0.5000 0.5000  8 Cl 3.33, 4 P 3.53
P1 0.0000 0.0000 0.5000  2 Rh 2.20
Rh1 0.0000 0.0000 0.0000  2 P 2.20


[9]
Density functional theory data (GGA-PBE) for a relaxed structure of Ho2NbRu3.

Raw total energy = -98.78 eV/cell
SG = No. 65
Volume = 109.39 Å³/f.u.
Magnetic moment = 0.0 μB per formula unit

a b c (Å): 4.6715 7.3711 6.6987
angles (deg): 90.00 90.00 71.53
With the nearest neighbours (Å) after each atom.
Sites, in units of the cell vectors:
Ru1 0.1730 0.6541 0.2276  3 Nb 2.70-2.79, 4 Ho 2.86-2.97
Ru2 0.5000 0.0000 0.7663  6 Ho 2.81-2.94, 2 Nb 2.82, 1 Ru 3.13
Ru3 0.5000 0.0000 0.2337  6 Ho 2.81-2.94, 2 Nb 2.82, 1 Ru 3.13
Ru4 0.8270 0.3459 0.7724  3 Nb 2.70-2.79, 4 Ho 2.86-2.97
Ru5 0.1729 0.6541 0.7724  3 Nb 2.70-2.79, 4 Ho 2.86-2.97
Ru6 0.8271 0.3459 0.2276  3 Nb 2.70-2.79, 4 Ho 2.86-2.97
Ho1 0.6659 0.6682 0.5000  8 Ru 2.90-2.97
Ho2 0.0000 0.0000 0.5000  8 Ru 2.94-3.03
Ho3 0.3341 0.3318 0.5000  8 Ru 2.90-2.97
Ho4 0.0000 0.0000 0.0000  8 Ru 2.81-2.86
Nb1 0.6677 0.6645 0.0000  8 Ru 2.70-2.82
Nb2 0.3323 0.3355 0.0000  8 Ru 2.70-2.82


[10]
Density functional theory data (GGA-PBE) for a relaxed structure of Y2CuBr.

SG = No. 47
Volume = 102.77 Å³/f.u.
Magnetic moment = 0.0 μB per formula unit
Distance to the lowest polymorph of the same formula = 1.47 kcal/mol of atoms
Uncorrected formation energy = -0.569 eV/atom

a b c (Å): 3.5071 3.5447 8.2667
angles (deg): 90.05 90.00 90.00
With the nearest neighbours (Å) after each atom.
Sites, in units of the cell vectors:
Y1 0.0000 0.2495 0.5465  4 Cu 3.01, 2 Br 3.01, 1 Y 3.36
Y2 0.0000 0.2505 0.9535  4 Cu 3.01, 2 Br 3.01, 1 Y 3.36
Br1 0.5000 0.2500 0.2500  4 Y 3.01
Cu1 0.5000 0.7500 0.7500  8 Y 3.01


The highest magnetic moment belongs to which entry? MnCo2Sb